# 1
Below is a relaxed Cu2NiOs crystal, with properties calculated at the PBE level.

```
Cu2NiOs
1.0
-1.553 -3.779 0.623
1.438 -3.209 -2.171
2.289 -2.894 1.861
Cu Ni Os
2 1 1
Cartesian
0.000 0.000 0.000
0.544 -2.470 0.078
1.087 -4.941 0.157
1.631 -7.411 0.235
```

## Properties
Mass density: 12.51 g/cm3
Polymorph energy (0 for the lowest one): 243 meV/atom
ΔH_f (0 K): 0.3859 eV per atom
DOS(E_F): 2.8 states/eV/cell
Total magnetization: 1.9 μB per formula unit
Final energy: -23.7 eV/cell



# 2
Below is a relaxed Na2Sr2Tl crystal, with properties calculated at the PBE level.

```
Na2Sr2Tl
1.0
8.369 0.000 0.000
0.000 8.369 0.000
0.000 0.000 5.527
Sr Tl Na
4 2 4
Cartesian
1.552 5.737 2.764
5.737 6.817 2.764
6.817 2.632 2.764
2.632 1.552 2.764
0.000 0.000 0.000
4.185 4.185 0.000
3.080 7.265 0.000
7.265 5.289 0.000
5.289 1.105 0.000
1.105 3.080 0.000
```

## Properties
Mass density: 3.65 g/cm3
Polymorph energy (0 for the lowest one): 156 meV/atom
ΔH_f (0 K): -0.0252 eV per atom
DOS(E_F): 9.7 states/eV/cell
Total magnetization: 0.0 μB per formula unit
Final energy: -17.0 eV/cell



# 3
Below is a relaxed GeSe2O crystal, with properties calculated at the PBE level.

```
GeSe2O
1.0
5.828 -6.332 2.538
7.731 -4.253 1.628
6.637 -4.157 4.379
Ge O Se
1 1 2
Cartesian
0.000 0.000 0.000
10.098 -7.371 4.273
18.136 -13.239 7.674
2.060 -1.503 0.872
```

## Properties
Mass density: 6.12 g/cm3
Polymorph energy (0 for the lowest one): 448 meV/atom
DOS(E_F): 2.3 states/eV/cell
E_form (uncorrected): 2.05 eV/f.u.
Total magnetization: 0.0 μB per formula unit
Final energy: -14.5 eV/cell



# 4
Below is a relaxed Nd3Tm4Sc2 crystal, with properties calculated at the PBE level.

```
Nd3Tm4Sc2
1.0
-0.806 5.842 1.667
-2.892 2.595 -8.830
-9.497 -1.182 1.213
Nd Tm Sc
6 8 4
Cartesian
-6.258 7.144 -5.857
-3.640 5.147 -4.886
-6.937 0.110 -0.093
-9.556 2.107 -1.064
-6.042 2.369 -3.930
-7.153 4.885 -2.020
-1.967 2.363 0.672
-11.725 1.456 -6.087
-11.228 4.891 -6.622
-1.470 5.799 0.137
-4.011 0.798 -1.320
-9.631 3.049 -4.170
-9.184 6.456 -4.630
-3.564 4.205 -1.780
-5.623 3.411 0.623
-10.514 5.313 -1.878
-7.572 3.844 -6.573
-2.681 1.942 -4.072
```

## Properties
Mass density: 7.07 g/cm3
Polymorph energy (0 for the lowest one): 113 meV/atom
ΔH_f (0 K): 0.1477 eV per atom
DOS(E_F): 30.8 states/eV/cell
Total magnetization: 0.0 μB per formula unit
Final energy: -87.0 eV/cell



# 5
Below is a relaxed AcPPtRh crystal, with properties calculated at the PBE level.

```
AcPPtRh
1.0
4.137 0.000 0.000
0.000 4.137 0.000
0.000 0.000 9.754
Ac P Pt Rh
2 2 2 2
Cartesian
0.000 2.069 7.657
2.069 0.000 2.097
0.000 2.069 3.637
2.069 0.000 6.116
2.069 0.000 8.581
0.000 2.069 1.172
0.000 0.000 4.877
2.069 2.069 4.877
```

## Properties
Mass density: 11.06 g/cm3
ΔH_f (0 K): -1.0051 eV per atom
DOS(E_F): 6.0 states/eV/cell
Total magnetization: 0.0 μB per formula unit
Final energy: -53.9 eV/cell



# 6
Below is a relaxed Li2YMn crystal, with properties calculated at the PBE level.

```
Li2YMn
1.0
-5.107 0.839 -1.603
-4.993 0.344 2.075
-1.842 4.520 0.665
Li Mn Y
2 1 1
Cartesian
-2.041 4.438 0.660
-8.936 4.284 0.853
-5.813 2.917 0.572
-2.967 1.433 0.285
```

## Properties
Mass density: 3.22 g/cm3
Polymorph energy (0 for the lowest one): 110 meV/atom
ΔH_f (0 K): 0.3134 eV per atom
DOS(E_F): 3.6 states/eV/cell
Total magnetization: 3.4 μB per formula unit
Final energy: -18.2 eV/cell



# 7
Below is a relaxed Sc6TeP2S3 crystal, with properties calculated at the PBE level.

```
Sc6TeP2S3
1.0
-1.532 0.015 -3.456
-6.950 -0.846 3.077
1.638 8.205 1.378
Sc Te P S
6 1 2 3
Cartesian
-5.645 4.520 2.522
-4.488 2.312 -0.068
-1.198 2.854 -1.524
-1.973 -0.137 0.874
-4.871 7.511 0.125
-2.356 5.062 1.067
-0.766 0.008 -1.728
-4.799 4.900 0.081
-2.045 2.475 0.917
-4.241 -0.415 -0.190
-1.323 5.415 -1.457
-5.521 1.960 2.456
```

## Properties
Mass density: 3.96 g/cm3
DOS(E_F): 4.4 states/eV/cell
E_form (uncorrected): -19.65 eV/f.u.
Total magnetization: 0.0 μB per formula unit
Final energy: -84.0 eV/cell



# 8
Below is a relaxed Na2PaGaO5 crystal, with properties calculated at the PBE level.

```
Na2PaGaO5
1.0
4.247 0.000 0.000
0.000 4.247 0.000
0.000 0.000 7.976
Na Pa Ga O
2 1 1 5
Cartesian
2.123 2.123 2.110
2.123 2.123 5.866
0.000 0.000 3.988
0.000 0.000 0.000
0.000 2.123 3.988
2.123 0.000 3.988
0.000 0.000 6.180
0.000 0.000 1.797
2.123 2.123 0.000
```

## Properties
Mass density: 4.93 g/cm3
E_form (uncorrected): -18.87 eV/f.u.
Total magnetization: 0.1 μB per formula unit
Final energy: -58.8 eV/cell



# 9
Below is a relaxed MgAs2Ir crystal, with properties calculated at the PBE level.

```
MgAs2Ir
1.0
4.249 0.000 0.000
0.000 4.236 0.000
0.000 0.000 3.731
As Ir Mg
2 1 1
Cartesian
0.000 0.000 0.000
2.124 2.118 0.000
2.124 0.000 1.865
0.000 2.118 1.865
```

## Properties
Mass density: 9.06 g/cm3
ΔH_f (0 K): -0.0129 eV per atom
DOS(E_F): 2.0 states/eV/cell
Total magnetization: 0.0 μB per formula unit
Final energy: -19.8 eV/cell



# 10
Below is a relaxed NdSm2CdN crystal, with properties calculated at the PBE level.

```
NdSm2CdN
1.0
-3.076 1.964 -3.494
-3.756 -2.711 1.783
-1.182 3.683 3.110
Nd Sm Cd N
1 2 1 1
Cartesian
-1.538 0.982 -1.747
-0.591 1.841 1.555
-1.878 -1.356 0.891
-4.007 1.468 0.700
0.000 0.000 0.000
```

## Properties
Mass density: 7.62 g/cm3
DOS(E_F): 5.3 states/eV/cell
E_form (uncorrected): -3.67 eV/f.u.
Total magnetization: 0.0 μB per formula unit
Final energy: -27.1 eV/cell



# 11
Below is a relaxed AcTmRh crystal, with properties calculated at the PBE level.

```
AcTmRh
1.0
6.326 0.000 0.000
0.000 4.185 0.000
0.000 -2.092 3.624
Ac Tm Rh
1 1 1
Cartesian
0.532 0.000 0.000
3.543 2.092 1.208
2.251 0.000 2.416
```

## Properties
Mass density: 8.64 g/cm3
Polymorph energy (0 for the lowest one): 56 meV/atom
ΔH_f (0 K): -0.5114 eV per atom
DOS(E_F): 2.6 states/eV/cell
Total magnetization: 0.0 μB per formula unit
Final energy: -17.5 eV/cell



# 12
Below is a relaxed K4Rb2Au2O crystal, with properties calculated at the PBE level.

```
K4Rb2Au2O
1.0
7.921 -0.162 -0.234
-3.944 6.871 0.234
-3.944 -2.195 6.515
K Rb Au O
4 2 2 1
Cartesian
-3.944 4.761 1.695
-1.818 3.501 5.053
-3.944 -0.085 5.053
1.851 1.013 1.462
-6.009 3.562 5.141
-1.880 1.114 1.608
0.016 4.523 1.687
0.016 -0.010 4.828
0.000 0.000 0.000
```

## Properties
Mass density: 3.54 g/cm3
DOS(E_F): 3.7 states/eV/cell
E_form (uncorrected): -4.20 eV/f.u.
Total magnetization: 0.0 μB per formula unit
Final energy: -22.0 eV/cell



# 13
Below is a relaxed K3NaS2O8 crystal, with properties calculated at the PBE level.

```
K3NaS2O8
1.0
5.766 0.000 0.000
-2.883 4.993 0.000
0.000 0.000 7.448
K Na S O
3 1 2 8
Cartesian
0.000 3.329 1.348
0.000 0.000 3.724
2.883 1.664 6.099
0.000 0.000 0.000
2.883 1.664 1.976
0.000 3.329 5.472
-1.220 4.033 5.995
0.000 1.921 5.995
1.220 4.033 5.995
1.663 0.960 1.452
2.883 3.073 1.452
4.103 0.960 1.452
2.883 1.664 3.450
0.000 3.329 3.997
```

## Properties
Mass density: 2.57 g/cm3
DOS(E_F): 0.0 states/eV/cell
E_form (uncorrected): -26.10 eV/f.u.
Total magnetization: 0.0 μB per formula unit
Final energy: -78.6 eV/cell



# 14
Below is a relaxed RbCrGa2B crystal, with properties calculated at the PBE level.

```
RbCrGa2B
1.0
-3.233 -1.265 3.386
-2.748 -1.066 -3.022
1.761 -4.519 -0.008
Cr B Ga Rb
1 1 2 1
Cartesian
0.000 0.000 0.000
-1.374 -0.533 -1.511
0.880 -2.259 -0.004
-1.616 -0.633 1.693
-2.110 -3.425 0.179
```

## Properties
Mass density: 4.81 g/cm3
ΔH_f (0 K): 0.5079 eV per atom
DOS(E_F): 2.5 states/eV/cell
Total magnetization: 0.0 μB per formula unit
Final energy: -20.8 eV/cell



# 15
Below is a relaxed CsKBa2Pt crystal, with properties calculated at the PBE level.

```
CsKBa2Pt
1.0
6.310 0.000 0.000
0.000 6.310 0.000
0.000 0.000 7.250
Cs K Ba Pt
1 1 2 1
Cartesian
0.000 0.000 3.625
3.155 3.155 3.625
0.000 3.155 0.000
3.155 0.000 0.000
0.000 0.000 0.000
```

## Properties
Mass density: 3.69 g/cm3
Polymorph energy (0 for the lowest one): 0 meV/atom
ΔH_f (0 K): -0.2089 eV per atom
DOS(E_F): 5.9 states/eV/cell
Total magnetization: 0.0 μB per formula unit
Final energy: -12.9 eV/cell



# 16
Below is a relaxed BaTaCu crystal, with properties calculated at the PBE level.

```
BaTaCu
1.0
7.136 0.000 0.000
0.000 4.828 0.000
0.000 0.000 9.093
Ba Cu Ta
4 4 4
Cartesian
0.524 1.207 7.714
3.044 3.621 3.168
6.612 3.621 1.379
4.092 1.207 5.926
5.238 1.207 2.901
5.467 3.621 7.448
1.899 3.621 6.193
1.669 1.207 1.646
0.349 1.207 4.101
3.220 3.621 8.648
6.788 3.621 4.992
3.917 1.207 0.445
```

## Properties
Mass density: 8.09 g/cm3
Polymorph energy (0 for the lowest one): 259 meV/atom
ΔH_f (0 K): 0.5695 eV per atom
DOS(E_F): 7.2 states/eV/cell
Total magnetization: 0.0 μB per formula unit
Final energy: -64.7 eV/cell



# 17
Below is a relaxed NdCu2Pd6 crystal, with properties calculated at the PBE level.

```
NdCu2Pd6
1.0
-1.879 7.198 -2.866
-2.355 0.784 -7.576
-7.595 1.776 -1.650
Nd Cu Pd
2 4 12
Cartesian
-5.914 4.879 -6.046
-8.872 7.319 -9.068
-1.479 1.220 -1.511
-2.656 1.612 -5.299
-5.276 2.108 -2.336
-2.418 4.819 -2.944
-6.735 3.364 -3.899
-5.094 6.394 -8.192
-4.177 2.880 -6.793
-7.885 3.747 -7.598
-9.692 5.804 -6.922
-10.842 6.186 -10.621
-7.652 6.879 -5.298
-8.051 8.834 -11.215
-7.134 5.319 -9.816
-6.901 8.451 -7.516
-3.944 6.011 -4.493
-10.609 9.318 -8.321
```

## Properties
Mass density: 8.43 g/cm3
ΔH_f (0 K): 0.0905 eV per atom
DOS(E_F): 13.5 states/eV/cell
Total magnetization: 0.0 μB per formula unit
Final energy: -86.6 eV/cell



# 18
Below is a relaxed CuSbAu crystal, with properties calculated at the PBE level.

```
CuSbAu
1.0
4.291 -0.206 -0.042
0.206 4.291 -0.034
0.064 0.050 6.272
Cu Sb Au
2 2 2
Cartesian
3.623 1.446 5.721
1.585 3.706 5.724
3.710 3.581 3.910
1.434 1.517 1.264
3.684 3.551 1.107
1.460 1.547 4.067
```

## Properties
Mass density: 10.97 g/cm3
Polymorph energy (0 for the lowest one): 0 meV/atom
DOS(E_F): 2.3 states/eV/cell
E_form (uncorrected): -0.03 eV/f.u.
Total magnetization: 0.0 μB per formula unit
Final energy: -23.0 eV/cell



# 19
Below is a relaxed Ac8Tb5Sm crystal, with properties calculated at the PBE level.

```
Ac8Tb5Sm
1.0
-2.472 4.462 -7.479
4.307 -7.696 -2.046
-7.641 -1.636 4.571
Ac Tb Sm
8 5 1
Cartesian
2.199 -4.992 -2.388
-6.928 2.358 -4.137
-3.298 0.726 -4.474
-6.955 -1.599 -1.541
-0.715 -2.750 -3.950
-3.887 -5.828 -2.258
-2.996 -1.278 -1.126
-0.643 -6.117 0.056
0.261 -2.375 -0.261
0.402 -3.341 -7.599
-4.602 -2.903 -4.272
-5.056 1.413 -1.454
-7.672 -1.119 2.224
-4.196 -3.959 0.535
```

## Properties
Mass density: 8.05 g/cm3
ΔH_f (0 K): 0.2640 eV per atom
DOS(E_F): 21.1 states/eV/cell
Total magnetization: 0.0 μB per formula unit
Final energy: -57.0 eV/cell